# Sm5Ga2Se2 | the Alexandria database | PBE-GGA | relaxed
data_Sm5Ga2Se2
_space_group_name_H-M_alt 'C m c e'
_space_group_IT_number 64
_space_group_name_Hall '-C 2ac 2'
_cell_length_a 15.1126
_cell_length_b 7.8369
_cell_length_c 7.8551
_cell_angle_alpha 90.00
_cell_angle_beta 90.00
_cell_angle_gamma 90.00
loop_
_atom_site_label
_atom_site_type_symbol
_atom_site_fract_x
_atom_site_fract_y
_atom_site_fract_z
Sm1 Sm 0.0000 0.0000 0.0000
Sm2 Sm 0.1399 0.1713 0.3364
Ga1 Ga 0.0000 0.1226 0.6187
Se1 Se 0.1978 0.0000 0.0000
# Total magnetic moment: 0.00 μB per atom
# D(E_F): 37.812 states/eV per cell
# Formation energy from raw total energies: -1.070 eV per atom